## UNi2Rh2 (GGA-PBE)

Data for a relaxed UNi2Rh2 crystal.

abc: 4.407 4.407 9.827
angles: 90.00 90.00 120.00
Fractional positions:
U1 0.000 0.000 0.250
U2 0.000 0.000 0.750
Ni1 0.333 0.667 0.113
Ni2 0.333 0.667 0.387
Ni3 0.667 0.333 0.613
Ni4 0.667 0.333 0.887
Rh1 0.000 0.000 0.000
Rh2 0.000 0.000 0.500
Rh3 0.333 0.667 0.750
Rh4 0.667 0.333 0.250

The calculation puts the electronic total energy at -7.4053 eV per atom. The density of states at the Fermi level is 0.71 states/eV/atom.

## TbCdO (GGA-PBE)

Data for a relaxed TbCdO crystal.

abc: 10.415 10.415 10.415
angles: 20.89 20.89 20.89
Fractional positions:
Tb1 0.119 0.119 0.119
Tb2 0.881 0.881 0.881
Cd1 0.368 0.368 0.368
Cd2 0.632 0.632 0.632
O1 0.196 0.196 0.196
O2 0.804 0.804 0.804

The calculation puts the electronic total energy at -5.4847 eV per atom. The density of states at the Fermi level is 0.58 states/eV/atom.

## SrCoHg3 (GGA-PBE)

Data for a relaxed SrCoHg3 crystal.

abc: 6.274 6.274 6.274
angles: 90.00 90.00 90.00
Fractional positions:
Sr1 0.000 0.000 0.000
Co1 0.500 0.500 0.500
Hg1 0.000 0.000 0.500
Hg2 0.000 0.500 0.000
Hg3 0.500 0.000 0.000

The calculation puts the electronic total energy at -0.9593 eV per atom. The density of states at the Fermi level is 2.95 states/eV/atom.

## Al2CrGe2 (GGA-PBE)

Data for a relaxed Al2CrGe2 crystal.

abc: 3.520 3.520 13.895
angles: 90.00 90.00 90.00
Fractional positions:
Al1 0.000 0.000 0.089
Al2 0.000 0.000 0.911
Al3 0.500 0.500 0.411
Al4 0.500 0.500 0.589
Cr1 0.000 0.000 0.500
Cr2 0.500 0.500 0.000
Ge1 0.000 0.500 0.250
Ge2 0.000 0.500 0.750
Ge3 0.500 0.000 0.250
Ge4 0.500 0.000 0.750

The calculation puts the electronic total energy at -4.6920 eV per atom. The density of states at the Fermi level is 1.46 states/eV/atom.

## KZnO2 (GGA-PBE)

Data for a relaxed KZnO2 crystal.

abc: 3.153 3.153 20.320
angles: 90.00 90.00 120.00
Fractional positions:
K1 0.000 0.000 0.000
K2 0.333 0.667 0.667
K3 0.667 0.333 0.333
Zn1 0.000 0.000 0.500
Zn2 0.333 0.667 0.167
Zn3 0.667 0.333 0.833
O1 0.000 0.000 0.116
O2 0.000 0.000 0.884
O3 0.333 0.667 0.551
O4 0.333 0.667 0.782
O5 0.667 0.333 0.218
O6 0.667 0.333 0.449

The calculation puts the electronic total energy at -3.7812 eV per atom. The density of states at the Fermi level is 0.61 states/eV/atom.

## Sc11In9Ru4 (GGA-PBE)

Data for a relaxed Sc11In9Ru4 crystal.

abc: 12.536 12.536 3.442
angles: 90.00 90.00 113.00
Fractional positions:
Sc1 0.000 0.000 0.000
Sc2 0.086 0.420 0.000
Sc3 0.158 0.842 0.000
Sc4 0.302 0.302 0.000
Sc5 0.360 0.640 0.000
Sc6 0.420 0.086 0.000
Sc7 0.580 0.914 0.000
Sc8 0.640 0.360 0.000
Sc9 0.698 0.698 0.000
Sc10 0.842 0.158 0.000
Sc11 0.914 0.580 0.000
In1 0.070 0.218 0.500
In2 0.142 0.633 0.500
In3 0.218 0.070 0.500
In4 0.367 0.858 0.500
In5 0.500 0.500 0.500
In6 0.633 0.142 0.500
In7 0.782 0.930 0.500
In8 0.858 0.367 0.500
In9 0.930 0.782 0.500
Ru1 0.263 0.458 0.500
Ru2 0.458 0.263 0.500
Ru3 0.542 0.737 0.500
Ru4 0.737 0.542 0.500

The calculation puts the electronic total energy at -5.9736 eV per atom. The density of states at the Fermi level is 0.58 states/eV/atom.